(1)
First-principles (PBE) data for a relaxed Tb6PrAl crystal, as listed in the Alexandria database.

a b c (Å): 6.928 12.149 6.884
angles (deg): 90.00 119.63 90.00
Positions (direct):
Tb (0.022, 0.219, 0.243)
Tb (0.022, 0.781, 0.243)
Tb (0.028, 0.500, 0.764)
Tb (0.472, 0.000, 0.236)
Tb (0.478, 0.281, 0.757)
Tb (0.478, 0.719, 0.757)
Tb (0.522, 0.281, 0.243)
Tb (0.522, 0.719, 0.243)
Tb (0.528, 0.000, 0.764)
Tb (0.972, 0.500, 0.236)
Tb (0.978, 0.219, 0.757)
Tb (0.978, 0.781, 0.757)
Pr (0.000, 0.000, 0.500)
Pr (0.500, 0.500, 0.500)
Al (0.000, 0.000, 0.000)
Al (0.500, 0.500, 0.000)

Summary:
- total magnetic moment (μB/cell) = 1.50

=====

(2)
First-principles (PBE) data for a relaxed Tb6PrAl crystal, as listed in the Alexandria database.

a b c (Å): 4.889 4.889 10.076
angles (deg): 90.00 90.00 90.00
Positions (direct):
Tb (0.000, 0.000, 0.000)
Tb (0.000, 0.000, 0.500)
Tb (0.000, 0.500, 0.236)
Tb (0.000, 0.500, 0.764)
Tb (0.500, 0.000, 0.236)
Tb (0.500, 0.000, 0.764)
Pr (0.500, 0.500, 0.500)
Al (0.500, 0.500, 0.000)

Summary:
- total magnetic moment (μB/cell) = 0.00

=====

Which structure is most stable? (2), by 0.291 eV/atom over the runner-up.

=====

(1)
First-principles (PBE) data for a relaxed Tb3PrAl2 crystal, as listed in the Alexandria database.

a b c (Å): 3.577 3.577 12.740
angles (deg): 90.00 90.00 90.00
Positions (direct):
Tb (0.000, 0.000, 0.000)
Tb (0.000, 0.000, 0.292)
Tb (0.000, 0.000, 0.708)
Pr (0.500, 0.500, 0.500)
Al (0.500, 0.500, 0.148)
Al (0.500, 0.500, 0.852)

Summary:
- total magnetic moment (μB/cell) = 0.00

=====

(2)
First-principles (PBE) data for a relaxed Tb3PrAl2 crystal, as listed in the Alexandria database.

a b c (Å): 8.445 8.445 9.016
angles (deg): 117.12 117.12 36.29
Positions (direct):
Tb (0.062, 0.062, 0.215)
Tb (0.312, 0.312, 0.506)
Tb (0.382, 0.382, 0.970)
Tb (0.618, 0.618, 0.030)
Tb (0.688, 0.688, 0.494)
Tb (0.938, 0.938, 0.785)
Pr (0.131, 0.131, 0.684)
Pr (0.869, 0.869, 0.316)
Al (0.231, 0.231, 0.100)
Al (0.481, 0.481, 0.344)
Al (0.519, 0.519, 0.656)
Al (0.769, 0.769, 0.900)

Summary:
- total magnetic moment (μB/cell) = 0.00

=====

Which structure is most stable? (1), by 0.072 eV/atom over the runner-up.

=====

(1)
First-principles (PBE) data for a relaxed Tb8Pr2Al crystal, as listed in the Alexandria database.

a b c (Å): 10.092 10.092 6.506
angles (deg): 93.89 93.89 31.78
Positions (direct):
Tb (0.041, 0.041, 0.254)
Tb (0.152, 0.152, 0.815)
Tb (0.344, 0.344, 0.878)
Tb (0.423, 0.423, 0.395)
Tb (0.577, 0.577, 0.605)
Tb (0.656, 0.656, 0.122)
Tb (0.848, 0.848, 0.185)
Tb (0.959, 0.959, 0.746)
Pr (0.242, 0.242, 0.332)
Pr (0.758, 0.758, 0.668)
Al (0.500, 0.500, 0.000)

Summary:
- total magnetic moment (μB/cell) = 0.00

=====

(2)
First-principles (PBE) data for a relaxed Tb8Pr2Al crystal, as listed in the Alexandria database.

a b c (Å): 9.812 9.812 7.539
angles (deg): 112.55 112.55 32.34
Positions (direct):
Tb (0.000, 0.000, 0.243)
Tb (0.000, 0.000, 0.757)
Tb (0.180, 0.180, 0.180)
Tb (0.368, 0.368, 0.131)
Tb (0.368, 0.368, 0.604)
Tb (0.632, 0.632, 0.396)
Tb (0.632, 0.632, 0.869)
Tb (0.820, 0.820, 0.820)
Pr (0.193, 0.193, 0.693)
Pr (0.807, 0.807, 0.307)
Al (0.500, 0.500, 0.000)

Summary:
- total magnetic moment (μB/cell) = 0.00

=====

Which structure is most stable? (1), by 0.052 eV/atom over the runner-up.

=====

(1)
First-principles (PBE) data for a relaxed Tb3PrAl8 crystal, as listed in the Alexandria database.

a b c (Å): 5.601 5.601 9.222
angles (deg): 90.00 90.00 120.00
Positions (direct):
Tb (0.000, 0.000, 0.000)
Tb (0.000, 0.000, 0.364)
Tb (0.333, 0.667, 0.865)
Pr (0.333, 0.667, 0.501)
Al (0.009, 0.504, 0.180)
Al (0.324, 0.162, 0.687)
Al (0.496, 0.504, 0.180)
Al (0.496, 0.991, 0.180)
Al (0.667, 0.333, 0.431)
Al (0.667, 0.333, 0.934)
Al (0.838, 0.162, 0.687)
Al (0.838, 0.676, 0.687)

Summary:
- total magnetic moment (μB/cell) = 0.00

=====

(2)
First-principles (PBE) data for a relaxed Tb3PrAl8 crystal, as listed in the Alexandria database.

a b c (Å): 9.751 9.751 9.751
angles (deg): 33.40 33.40 33.40
Positions (direct):
Tb (0.000, 0.000, 0.000)
Tb (0.124, 0.124, 0.124)
Tb (0.499, 0.499, 0.499)
Pr (0.625, 0.625, 0.625)
Al (0.061, 0.061, 0.560)
Al (0.061, 0.560, 0.061)
Al (0.064, 0.562, 0.562)
Al (0.312, 0.312, 0.312)
Al (0.560, 0.061, 0.061)
Al (0.562, 0.064, 0.562)
Al (0.562, 0.562, 0.064)
Al (0.812, 0.812, 0.812)

Summary:
- total magnetic moment (μB/cell) = 0.00

=====

Which structure is most stable? (2), by 0.009 eV/atom over the runner-up.

=====

(1)
First-principles (PBE) data for a relaxed Tb3PrAl crystal, as listed in the Alexandria database.

a b c (Å): 10.150 10.150 6.889
angles (deg): 98.50 98.50 62.20
Positions (direct):
Tb (0.001, 0.661, 0.409)
Tb (0.005, 0.670, 0.916)
Tb (0.308, 0.317, 0.900)
Tb (0.317, 0.308, 0.400)
Tb (0.330, 0.995, 0.584)
Tb (0.339, 0.999, 0.091)
Tb (0.661, 0.001, 0.909)
Tb (0.670, 0.005, 0.416)
Tb (0.683, 0.692, 0.600)
Tb (0.692, 0.683, 0.100)
Tb (0.995, 0.330, 0.084)
Tb (0.999, 0.339, 0.591)
Pr (0.041, 0.959, 0.750)
Pr (0.357, 0.643, 0.250)
Pr (0.643, 0.357, 0.750)
Pr (0.959, 0.041, 0.250)
Al (0.277, 0.578, 0.691)
Al (0.422, 0.723, 0.809)
Al (0.578, 0.277, 0.191)
Al (0.723, 0.422, 0.309)

Summary:
- total magnetic moment (μB/cell) = 0.00

=====

(2)
First-principles (PBE) data for a relaxed Tb3PrAl crystal, as listed in the Alexandria database.

a b c (Å): 9.747 9.747 8.682
angles (deg): 104.10 104.10 21.91
Positions (direct):
Tb (0.000, 0.000, 0.210)
Tb (0.000, 0.000, 0.790)
Tb (0.184, 0.184, 0.887)
Tb (0.198, 0.198, 0.309)
Tb (0.802, 0.802, 0.691)
Tb (0.816, 0.816, 0.113)
Pr (0.399, 0.399, 0.452)
Pr (0.601, 0.601, 0.548)
Al (0.404, 0.404, 0.941)
Al (0.596, 0.596, 0.059)

Summary:
- total magnetic moment (μB/cell) = 0.00

=====

Which structure is most stable? (2), by 0.101 eV/atom over the runner-up.

=====

(1)
First-principles (PBE) data for a relaxed TbPr2Al6 crystal, as listed in the Alexandria database.

a b c (Å): 8.106 8.106 8.106
angles (deg): 147.96 126.57 63.67
Positions (direct):
Tb (0.000, 0.000, 0.000)
Pr (0.375, 0.875, 0.500)
Pr (0.625, 0.125, 0.500)
Al (0.008, 0.319, 0.689)
Al (0.306, 0.500, 0.806)
Al (0.370, 0.681, 0.689)
Al (0.630, 0.319, 0.311)
Al (0.694, 0.500, 0.194)
Al (0.992, 0.681, 0.311)

Summary:
- total magnetic moment (μB/cell) = 0.00

=====

(2)
First-principles (PBE) data for a relaxed TbPr2Al6 crystal, as listed in the Alexandria database.

a b c (Å): 7.969 7.969 3.705
angles (deg): 90.00 90.00 120.00
Positions (direct):
Tb (0.000, 0.000, 0.000)
Pr (0.333, 0.667, 0.000)
Pr (0.667, 0.333, 0.000)
Al (0.000, 0.331, 0.500)
Al (0.000, 0.669, 0.500)
Al (0.331, 0.000, 0.500)
Al (0.331, 0.331, 0.500)
Al (0.669, 0.000, 0.500)
Al (0.669, 0.669, 0.500)

Summary:
- total magnetic moment (μB/cell) = 0.00

=====

Which structure is most stable? (2), by 0.282 eV/atom over the runner-up.

=====

(1)
First-principles (PBE) data for a relaxed TbPr6Al crystal, as listed in the Alexandria database.

a b c (Å): 5.028 5.028 10.334
angles (deg): 90.00 90.00 90.00
Positions (direct):
Tb (0.000, 0.000, 0.000)
Pr (0.000, 0.500, 0.262)
Pr (0.000, 0.500, 0.738)
Pr (0.500, 0.000, 0.262)
Pr (0.500, 0.000, 0.738)
Pr (0.500, 0.500, 0.000)
Pr (0.500, 0.500, 0.500)
Al (0.000, 0.000, 0.500)

Summary:
- total magnetic moment (μB/cell) = 0.00

=====

(2)
First-principles (PBE) data for a relaxed TbPr6Al crystal, as listed in the Alexandria database.

a b c (Å): 6.818 11.597 6.888
angles (deg): 90.00 99.94 90.00
Positions (direct):
Tb (0.000, 0.000, 0.000)
Tb (0.500, 0.500, 0.000)
Pr (0.128, 0.285, 0.762)
Pr (0.128, 0.715, 0.762)
Pr (0.250, 0.000, 0.564)
Pr (0.250, 0.500, 0.436)
Pr (0.372, 0.215, 0.238)
Pr (0.372, 0.785, 0.238)
Pr (0.628, 0.215, 0.762)
Pr (0.628, 0.785, 0.762)
Pr (0.750, 0.000, 0.436)
Pr (0.750, 0.500, 0.564)
Pr (0.872, 0.285, 0.238)
Pr (0.872, 0.715, 0.238)
Al (0.000, 0.500, 0.000)
Al (0.500, 0.000, 0.000)

Summary:
- total magnetic moment (μB/cell) = 0.00

=====

Which structure is most stable? (1), by 0.009 eV/atom over the runner-up.

=====

(1)
First-principles (PBE) data for a relaxed TbPrAlTl crystal, as listed in the Alexandria database.

a b c (Å): 3.743 3.743 7.740
angles (deg): 90.00 90.00 90.00
Positions (direct):
Tb (0.000, 0.000, 0.000)
Pr (0.000, 0.000, 0.527)
Al (0.500, 0.500, 0.775)
Tl (0.500, 0.500, 0.249)

Summary:
- total magnetic moment (μB/cell) = 0.00

=====

(2)
First-principles (PBE) data for a relaxed TbPrAlTl crystal, as listed in the Alexandria database.

a b c (Å): 7.581 7.581 7.581
angles (deg): 90.00 90.00 90.00
Positions (direct):
Tb (0.000, 0.000, 0.000)
Tb (0.000, 0.500, 0.500)
Tb (0.500, 0.000, 0.500)
Tb (0.500, 0.500, 0.000)
Pr (0.000, 0.000, 0.500)
Pr (0.000, 0.500, 0.000)
Pr (0.500, 0.000, 0.000)
Pr (0.500, 0.500, 0.500)
Al (0.250, 0.250, 0.250)
Al (0.250, 0.750, 0.750)
Al (0.750, 0.250, 0.750)
Al (0.750, 0.750, 0.250)
Tl (0.250, 0.250, 0.750)
Tl (0.250, 0.750, 0.250)
Tl (0.750, 0.250, 0.250)
Tl (0.750, 0.750, 0.750)

Summary:
- total magnetic moment (μB/cell) = 0.00

=====

Which structure is most stable? (1), by 0.028 eV/atom over the runner-up.

=====

(1)
First-principles (PBE) data for a relaxed Pr2AlTe crystal, as listed in the Alexandria database.

a b c (Å): 4.189 4.189 25.489
angles (deg): 90.00 90.00 120.00
Positions (direct):
Pr (0.000, 0.000, 0.000)
Pr (0.000, 0.000, 0.170)
Pr (0.333, 0.667, 0.667)
Pr (0.333, 0.667, 0.836)
Pr (0.667, 0.333, 0.333)
Pr (0.667, 0.333, 0.503)
Al (0.000, 0.000, 0.752)
Al (0.333, 0.667, 0.419)
Al (0.667, 0.333, 0.086)
Te (0.000, 0.000, 0.584)
Te (0.333, 0.667, 0.250)
Te (0.667, 0.333, 0.917)

Summary:
- total magnetic moment (μB/cell) = 0.01

=====

(2)
First-principles (PBE) data for a relaxed Pr2AlTe crystal, as listed in the Alexandria database.

a b c (Å): 4.287 4.287 23.954
angles (deg): 90.00 90.00 120.00
Positions (direct):
Pr (0.000, 0.000, 0.249)
Pr (0.000, 0.000, 0.751)
Pr (0.333, 0.667, 0.418)
Pr (0.333, 0.667, 0.915)
Pr (0.667, 0.333, 0.085)
Pr (0.667, 0.333, 0.582)
Al (0.000, 0.000, 0.500)
Al (0.333, 0.667, 0.167)
Al (0.667, 0.333, 0.833)
Te (0.000, 0.000, 0.000)
Te (0.333, 0.667, 0.667)
Te (0.667, 0.333, 0.333)

Summary:
- total magnetic moment (μB/cell) = 0.00

=====

(3)
First-principles (PBE) data for a relaxed Pr2AlTe crystal, as listed in the Alexandria database.

a b c (Å): 4.629 24.426 4.371
angles (deg): 90.00 90.00 90.00
Positions (direct):
Pr (0.000, 0.063, 0.250)
Pr (0.000, 0.327, 0.250)
Pr (0.000, 0.673, 0.750)
Pr (0.000, 0.937, 0.750)
Pr (0.500, 0.173, 0.750)
Pr (0.500, 0.437, 0.750)
Pr (0.500, 0.563, 0.250)
Pr (0.500, 0.827, 0.250)
Al (0.000, 0.465, 0.250)
Al (0.000, 0.535, 0.750)
Al (0.500, 0.035, 0.750)
Al (0.500, 0.965, 0.250)
Te (0.000, 0.193, 0.250)
Te (0.000, 0.807, 0.750)
Te (0.500, 0.307, 0.750)
Te (0.500, 0.693, 0.250)

Summary:
- total magnetic moment (μB/cell) = 0.00

=====

(4)
First-principles (PBE) data for a relaxed Pr2AlTe crystal, as listed in the Alexandria database.

a b c (Å): 3.777 3.777 8.092
angles (deg): 90.00 90.00 90.00
Positions (direct):
Pr (0.000, 0.000, 0.248)
Pr (0.000, 0.000, 0.752)
Al (0.500, 0.500, 0.000)
Te (0.500, 0.500, 0.500)

Summary:
- total magnetic moment (μB/cell) = 0.00

=====

Which structure is most stable? (3), by 0.110 eV/atom over the runner-up.

=====

(1)
First-principles (PBE) data for a relaxed PrThAl2 crystal, as listed in the Alexandria database.

a b c (Å): 3.748 3.748 27.884
angles (deg): 90.00 90.00 120.00
Positions (direct):
Pr (0.000, 0.000, 0.000)
Pr (0.333, 0.667, 0.667)
Pr (0.667, 0.333, 0.333)
Th (0.000, 0.000, 0.500)
Th (0.333, 0.667, 0.167)
Th (0.667, 0.333, 0.833)
Al (0.000, 0.000, 0.250)
Al (0.000, 0.000, 0.750)
Al (0.333, 0.667, 0.417)
Al (0.333, 0.667, 0.916)
Al (0.667, 0.333, 0.084)
Al (0.667, 0.333, 0.583)

Summary:
- total magnetic moment (μB/cell) = 0.00

=====

(2)
First-principles (PBE) data for a relaxed PrThAl2 crystal, as listed in the Alexandria database.

a b c (Å): 7.485 7.485 7.485
angles (deg): 90.00 90.00 90.00
Positions (direct):
Pr (0.000, 0.000, 0.000)
Pr (0.000, 0.500, 0.500)
Pr (0.500, 0.000, 0.500)
Pr (0.500, 0.500, 0.000)
Th (0.000, 0.000, 0.500)
Th (0.000, 0.500, 0.000)
Th (0.500, 0.000, 0.000)
Th (0.500, 0.500, 0.500)
Al (0.250, 0.250, 0.250)
Al (0.250, 0.250, 0.750)
Al (0.250, 0.750, 0.250)
Al (0.250, 0.750, 0.750)
Al (0.750, 0.250, 0.250)
Al (0.750, 0.250, 0.750)
Al (0.750, 0.750, 0.250)
Al (0.750, 0.750, 0.750)

Summary:
- total magnetic moment (μB/cell) = 0.00

=====

Which structure is most stable? (2), by 0.189 eV/atom over the runner-up.

=====

(1)
First-principles (PBE) data for a relaxed Pr3ThAl8 crystal, as listed in the Alexandria database.

a b c (Å): 9.862 9.862 9.862
angles (deg): 33.73 33.73 33.73
Positions (direct):
Pr (0.000, 0.000, 0.000)
Pr (0.126, 0.126, 0.126)
Pr (0.499, 0.499, 0.499)
Th (0.625, 0.625, 0.625)
Al (0.061, 0.563, 0.563)
Al (0.063, 0.063, 0.563)
Al (0.063, 0.563, 0.063)
Al (0.313, 0.313, 0.313)
Al (0.563, 0.061, 0.563)
Al (0.563, 0.063, 0.063)
Al (0.563, 0.563, 0.061)
Al (0.812, 0.812, 0.812)

Summary:
- total magnetic moment (μB/cell) = 0.00

=====

(2)
First-principles (PBE) data for a relaxed Pr3ThAl8 crystal, as listed in the Alexandria database.

a b c (Å): 5.683 5.683 9.442
angles (deg): 90.00 90.00 120.00
Positions (direct):
Pr (0.000, 0.000, 0.000)
Pr (0.000, 0.000, 0.365)
Pr (0.333, 0.667, 0.864)
Th (0.333, 0.667, 0.501)
Al (0.008, 0.504, 0.185)
Al (0.326, 0.163, 0.681)
Al (0.496, 0.504, 0.185)
Al (0.496, 0.992, 0.185)
Al (0.667, 0.333, 0.432)
Al (0.667, 0.333, 0.935)
Al (0.837, 0.163, 0.681)
Al (0.837, 0.674, 0.681)

Summary:
- total magnetic moment (μB/cell) = 0.00

=====

Which structure is most stable? (1), by 0.013 eV/atom over the runner-up.